The following is a GGA-PBEsol calculation of an optimized crystal structure of TiCd2SiHg, from Alexandria via LeMat-Bulk.

Values from the calculation:
N(E_F) in states/eV per cell: 4.6
VASP energy in eV per cell: -13.3
Density in kg/m³: 6063
SG: P4/mmm
Crystal system: tetragonal
Spin magnetization in μB/cell: 1.010
Raw formation energy in eV per atom: 0.7546

Structure (CIF):
```
data_TiCd2SiHg
_chemical_formula_sum 'Ti1 Cd2 Si1 Hg1'
_space_group_name_H-M_alt 'P 1'
_space_group_IT_number 1
_cell_length_a 5.406
_cell_length_b 5.406
_cell_length_c 4.699
_cell_angle_alpha 90.00
_cell_angle_beta 90.00
_cell_angle_gamma 90.00
loop_
_space_group_symop_operation_xyz
'x,y,z'
loop_
_atom_site_label
_atom_site_type_symbol
_atom_site_fract_x
_atom_site_fract_y
_atom_site_fract_z
Ti1 Ti 0.000 0.000 0.000
Cd1 Cd 0.000 0.500 0.000
Cd2 Cd 0.500 0.000 0.000
Si1 Si 0.000 0.000 0.500
Hg1 Hg 0.500 0.500 0.500
```